The following is a PBE-GGA calculation of a relaxed PaFe2Sb crystal, from the Alexandria database.

The value obtained for the density of states at the Fermi level is 29.0 states/eV/cell. The energy above the most stable polymorph in this dataset is 0.628 eV per formula unit. The volume comes out at 17.4 Å³/atom. The value obtained for the total moment is 2.76 μB/f.u.

The space group is Fm-3m (No. 225) and the conventional cell measures 6.524, 6.524 and 6.524 Å, with angles of 90.00, 90.00 and 90.00 degrees. Symmetry generates all atoms from Pa at (0.000, 0.000, 0.000), Fe at (0.250, 0.250, 0.250) and Sb at (0.000, 0.000, 0.500).

The following is a PBE-GGA calculation of a relaxed K4ScBe crystal, from the Alexandria database.

Its formation energy is 1.022 eV per atom. The value obtained for the density of states at the Fermi level is 32.8 states/eV/cell. The volume comes out at 47.4 Å³/atom. The value obtained for the total moment is 1.73 μB/f.u.

The space group is F-43m (No. 216) and the conventional cell measures 10.438, 10.438 and 10.438 Å, with angles of 90.00, 90.00 and 90.00 degrees. Symmetry generates all atoms from K at (0.125, 0.125, 0.125), Sc at (0.250, 0.250, 0.750) and Be at (0.000, 0.000, 0.500).

The following is a PBE-GGA calculation of a relaxed Ba2TmIO6 crystal, from the Alexandria database.

The value obtained for the density of states at the Fermi level is 0.0 states/eV/cell. The calculation puts the final energy at -364.19 eV per cell. The volume comes out at 17.0 Å³/atom. The value obtained for the total moment is 0.00 μB/f.u.

The space group is R-3m (No. 166, hexagonal axes) and the conventional cell measures 6.1673, 6.1673 and 30.9772 Å, with angles of 90.00, 90.00 and 120.00 degrees. Symmetry generates all atoms from Ba at (0.0000, 0.0000, 0.1308), Ba at (0.0000, 0.0000, 0.2762), Tm at (0.0000, 0.0000, 0.4045), I at (0.0000, 0.0000, 0.0000), I at (0.0000, 0.0000, 0.5000), O at (0.0186, 0.5093, 0.1246) and O at (0.0191, 0.5096, 0.7073).

The following is a PBE-GGA calculation of a relaxed MgScHg crystal, from the Alexandria database.

Its formation energy is -0.129 eV per atom. The value obtained for the density of states at the Fermi level is 2.2 states/eV/cell. The volume comes out at 23.4 Å³/atom. The value obtained for the total moment is 0.00 μB/f.u.

The space group is P3m1 (No. 156) and the conventional cell measures 3.3592, 3.3592 and 7.1920 Å, with angles of 90.00, 90.00 and 120.00 degrees. Symmetry generates all atoms from Mg at (0.0000, 0.0000, 0.0000), Sc at (0.6667, 0.3333, 0.3569) and Hg at (0.3333, 0.6667, 0.6785).

The following is a PBE-GGA calculation of a relaxed ScW3Se crystal, from the Alexandria database.

The value obtained for the density of states at the Fermi level is 5.2 states/eV/cell. The energy above the most stable polymorph in this dataset is 6.986 eV per formula unit. The volume comes out at 20.7 Å³/atom. The value obtained for the total moment is 0.00 μB/f.u.

The space group is Pm-3m (No. 221) and the conventional cell measures 4.698, 4.698 and 4.698 Å, with angles of 90.00, 90.00 and 90.00 degrees. Symmetry generates all atoms from Sc at (0.000, 0.000, 0.000), W at (0.000, 0.000, 0.500) and Se at (0.500, 0.500, 0.500).

The following is a PBE-GGA calculation of a relaxed Mn2TlGeAu crystal, from the Alexandria database.

Its formation energy is 1.250 eV per atom. The value obtained for the density of states at the Fermi level is 3.1 states/eV/cell. The volume comes out at 26.9 Å³/atom. The value obtained for the total moment is 8.53 μB/f.u.

The space group is P4/mmm (No. 123) and the conventional cell measures 5.064, 5.064 and 5.244 Å, with angles of 90.00, 90.00 and 90.00 degrees. Symmetry generates all atoms from Mn at (0.000, 0.500, 0.000), Tl at (0.000, 0.000, 0.000), Ge at (0.000, 0.000, 0.500) and Au at (0.500, 0.500, 0.500).

The following is a PBE-GGA calculation of a relaxed RbYGe2Ir crystal, from the Alexandria database.

Its formation energy is 0.069 eV per atom. The value obtained for the density of states at the Fermi level is 5.3 states/eV/cell. The volume comes out at 26.9 Å³/atom. The value obtained for the total moment is 0.00 μB/f.u.

The space group is P4/mmm (No. 123) and the conventional cell measures 4.999, 4.999 and 5.374 Å, with angles of 90.00, 90.00 and 90.00 degrees. Symmetry generates all atoms from Rb at (0.000, 0.000, 0.000), Y at (0.500, 0.500, 0.000), Ge at (0.000, 0.500, 0.500) and Ir at (0.500, 0.500, 0.500).

The following is a PBE-GGA calculation of a relaxed Tb6Nd2Zr crystal, from the Alexandria database.

Its formation energy is 0.107 eV per atom. The value obtained for the density of states at the Fermi level is 23.3 states/eV/cell. The volume comes out at 31.1 Å³/atom. The value obtained for the total moment is 0.00 μB/f.u.

The space group is C2/m (No. 12) and the conventional cell measures 16.819, 9.679 and 3.442 Å, with angles of 90.00, 90.18 and 90.00 degrees. Symmetry generates all atoms from Tb at (0.000, 0.176, 0.000), Tb at (0.162, 0.338, 0.000), Nd at (0.167, 0.000, 0.500) and Zr at (0.000, 0.500, 0.500).

The following is a PBE-GGA calculation of a relaxed Sm4Tm2Mg crystal, from the Alexandria database.

Its formation energy is 0.088 eV per atom. The value obtained for the density of states at the Fermi level is 20.0 states/eV/cell. The energy above the most stable polymorph in this dataset is 0.000 eV per formula unit. The volume comes out at 32.0 Å³/atom. The value obtained for the total moment is 0.00 μB/f.u.

The space group is C2/m (No. 12) and the conventional cell measures 16.754, 3.485 and 8.630 Å, with angles of 90.00, 117.10 and 90.00 degrees. Symmetry generates all atoms from Sm at (0.082, 0.000, 0.204), Sm at (0.135, 0.500, 0.899), Tm at (0.219, 0.000, 0.640) and Mg at (0.000, 0.000, 0.500).

The following is a PBE-GGA calculation of a relaxed In3BO crystal, from the Alexandria database.

The value obtained for the density of states at the Fermi level is 2.1 states/eV/cell. The energy above the most stable polymorph in this dataset is 0.000 eV per formula unit. The volume comes out at 20.5 Å³/atom. The value obtained for the total moment is 0.00 μB/f.u.

The space group is Pm-3m (No. 221) and the conventional cell measures 4.682, 4.682 and 4.682 Å, with angles of 90.00, 90.00 and 90.00 degrees. Symmetry generates all atoms from In at (0.000, 0.000, 0.500), B at (0.000, 0.000, 0.000) and O at (0.500, 0.500, 0.500).

The following is a PBE-GGA calculation of a relaxed LiTlHg3 crystal, from the Alexandria database.

Its formation energy is -0.130 eV per atom. The value obtained for the density of states at the Fermi level is 6.6 states/eV/cell. The energy above the most stable polymorph in this dataset is 0.000 eV per formula unit. The volume comes out at 24.9 Å³/atom. The value obtained for the total moment is 0.00 μB/f.u.

The space group is P2_1/c (No. 14) and the conventional cell measures 9.155, 6.028 and 9.094 Å, with angles of 90.00, 97.66 and 90.00 degrees. Symmetry generates all atoms from Li at (0.081, 0.151, 0.352), Tl at (0.385, 0.612, 0.780), Hg at (0.099, 0.666, 0.437), Hg at (0.205, 0.051, 0.650) and Hg at (0.375, 0.162, 0.962).

The following is a PBE-GGA calculation of a relaxed FeSi3W crystal, from the Alexandria database.

The value obtained for the density of states at the Fermi level is 3.8 states/eV/cell. The energy above the most stable polymorph in this dataset is 0.000 eV per formula unit. The volume comes out at 15.3 Å³/atom. The value obtained for the total moment is 0.15 μB/f.u.

The space group is Pm-3m (No. 221) and the conventional cell measures 4.247, 4.247 and 4.247 Å, with angles of 90.00, 90.00 and 90.00 degrees. Symmetry generates all atoms from Fe at (0.000, 0.000, 0.000), Si at (0.000, 0.000, 0.500) and W at (0.500, 0.500, 0.500).